No. 1
# Tc2BTeBr

Tc2BTeBr after structural relaxation (PBE, the Alexandria database).

Results
The spin magnetization comes out at 3.53 μB/f.u. For the density of states at the Fermi level, the calculation gives 4.8 states/eV/cell. For the raw formation energy, the calculation gives 2465.9 meV/atom.

abc: 4.593 4.593 5.963
angles: 90.00 90.00 90.00
Fractional positions:
Tc  0.000  0.500  0.000
Tc  0.500  0.000  0.000
B  0.000  0.000  0.500
Te  0.500  0.500  0.500
Br  0.500  0.500  0.000


No. 2
# BTeBr3

BTeBr3 after structural relaxation (PBE, the Alexandria database).

Results
The spin magnetization comes out at 0.58 μB/f.u. For the density of states at the Fermi level, the calculation gives 5.9 states/eV/cell. For the raw formation energy, the calculation gives 929.1 meV/atom.

abc: 5.663 5.663 5.663
angles: 90.00 90.00 90.00
Fractional positions:
B  0.000  0.000  0.000
Te  0.500  0.500  0.500
Br  0.000  0.500  0.500
Br  0.500  0.000  0.500
Br  0.500  0.500  0.000


No. 3
# BTeBr2

BTeBr2 after structural relaxation (PBE, the Alexandria database).

Results
The spin magnetization comes out at 1.98 μB/f.u. For the energy above the most stable polymorph in this dataset, the calculation gives 263 meV/atom. For the density of states at the Fermi level, the calculation gives 5.4 states/eV/cell. For the raw formation energy, the calculation gives 760.5 meV/atom.

abc: 7.070 7.070 7.070
angles: 60.00 60.00 60.00
Fractional positions:
B  0.125  0.125  0.125
B  0.875  0.875  0.875
Te  0.375  0.375  0.375
Te  0.625  0.625  0.625
Br  0.000  0.000  0.000
Br  0.000  0.000  0.500
Br  0.000  0.500  0.000
Br  0.500  0.000  0.000


No. 4
# BTeBr2

BTeBr2 after structural relaxation (PBE, the Alexandria database).

Results
The spin magnetization comes out at 0.08 μB/f.u. For the energy above the most stable polymorph in this dataset, the calculation gives 164 meV/atom. For the density of states at the Fermi level, the calculation gives 10.6 states/eV/cell. For the raw formation energy, the calculation gives 661.5 meV/atom.

abc: 3.329 3.329 33.482
angles: 90.00 90.00 120.00
Fractional positions:
B  0.000  0.000  0.000
B  0.333  0.667  0.667
B  0.667  0.333  0.333
Te  0.000  0.000  0.500
Te  0.333  0.667  0.167
Te  0.667  0.333  0.833
Br  0.000  0.000  0.375
Br  0.000  0.000  0.625
Br  0.333  0.667  0.042
Br  0.333  0.667  0.292
Br  0.667  0.333  0.708
Br  0.667  0.333  0.958


No. 5
# BTe5Br2

BTe5Br2 after structural relaxation (PBE, the Alexandria database).

Results
The spin magnetization comes out at 0.00 μB/f.u. For the density of states at the Fermi level, the calculation gives 6.6 states/eV/cell. For the raw formation energy, the calculation gives 107.1 meV/atom.

abc: 15.090 6.126 6.106
angles: 90.00 92.86 90.00
Fractional positions:
B  0.000  0.000  0.000
B  0.500  0.500  0.000
Te  0.104  0.000  0.758
Te  0.352  0.259  0.464
Te  0.352  0.741  0.464
Te  0.387  0.253  0.987
Te  0.387  0.747  0.987
Te  0.604  0.500  0.758
Te  0.852  0.241  0.464
Te  0.852  0.759  0.464
Te  0.887  0.247  0.987
Te  0.887  0.753  0.987
Br  0.089  0.000  0.259
Br  0.107  0.500  0.760
Br  0.589  0.500  0.259
Br  0.607  0.000  0.760


No. 6
# BTe3Br

BTe3Br after structural relaxation (PBE, the Alexandria database).

Results
The spin magnetization comes out at 0.00 μB/f.u. For the energy above the most stable polymorph in this dataset, the calculation gives 947 meV/atom. For the density of states at the Fermi level, the calculation gives 3.6 states/eV/cell. For the raw formation energy, the calculation gives 1639.8 meV/atom.

abc: 5.604 5.604 5.604
angles: 90.00 90.00 90.00
Fractional positions:
B  0.000  0.000  0.000
Te  0.000  0.500  0.500
Te  0.500  0.000  0.500
Te  0.500  0.500  0.000
Br  0.500  0.500  0.500


No. 7
# BTe2Br

BTe2Br after structural relaxation (PBE, the Alexandria database).

Results
The spin magnetization comes out at 0.00 μB/f.u. For the energy above the most stable polymorph in this dataset, the calculation gives 128 meV/atom. For the density of states at the Fermi level, the calculation gives 6.5 states/eV/cell. For the raw formation energy, the calculation gives 555.7 meV/atom.

abc: 3.634 3.634 25.751
angles: 90.00 90.00 120.00
Fractional positions:
B  0.000  0.000  0.000
B  0.333  0.667  0.667
B  0.667  0.333  0.333
Te  0.000  0.000  0.389
Te  0.000  0.000  0.611
Te  0.333  0.667  0.056
Te  0.333  0.667  0.278
Te  0.667  0.333  0.722
Te  0.667  0.333  0.944
Br  0.000  0.000  0.500
Br  0.333  0.667  0.167
Br  0.667  0.333  0.833


No. 8
# BTe2Br

BTe2Br after structural relaxation (PBE, the Alexandria database).

Results
The spin magnetization comes out at 0.00 μB/f.u. For the energy above the most stable polymorph in this dataset, the calculation gives 841 meV/atom. For the density of states at the Fermi level, the calculation gives 11.5 states/eV/cell. For the raw formation energy, the calculation gives 1268.7 meV/atom.

abc: 7.101 7.101 7.101
angles: 90.00 90.00 90.00
Fractional positions:
B  0.000  0.000  0.000
B  0.000  0.500  0.500
B  0.500  0.000  0.500
B  0.500  0.500  0.000
Te  0.250  0.250  0.250
Te  0.250  0.250  0.750
Te  0.250  0.750  0.250
Te  0.250  0.750  0.750
Te  0.750  0.250  0.250
Te  0.750  0.250  0.750
Te  0.750  0.750  0.250
Te  0.750  0.750  0.750
Br  0.000  0.000  0.500
Br  0.000  0.500  0.000
Br  0.500  0.000  0.000
Br  0.500  0.500  0.500


No. 9
# BTe2Br

BTe2Br after structural relaxation (PBE, the Alexandria database).

Results
The spin magnetization comes out at 0.00 μB/f.u. For the energy above the most stable polymorph in this dataset, the calculation gives 97 meV/atom. For the density of states at the Fermi level, the calculation gives 5.6 states/eV/cell. For the raw formation energy, the calculation gives 524.9 meV/atom.

abc: 6.102 6.102 12.204
angles: 90.00 90.00 120.00
Fractional positions:
B  0.000  0.000  0.000
B  0.333  0.667  0.667
B  0.667  0.333  0.333
Te  0.000  0.000  0.166
Te  0.000  0.000  0.834
Te  0.333  0.667  0.501
Te  0.333  0.667  0.833
Te  0.667  0.333  0.167
Te  0.667  0.333  0.499
Br  0.000  0.000  0.500
Br  0.333  0.667  0.167
Br  0.667  0.333  0.833


No. 10
# BTe3Br

BTe3Br after structural relaxation (PBE, the Alexandria database).

Results
The spin magnetization comes out at 0.00 μB/f.u. For the energy above the most stable polymorph in this dataset, the calculation gives 0 meV/atom. For the density of states at the Fermi level, the calculation gives 4.8 states/eV/cell. For the raw formation energy, the calculation gives 693.3 meV/atom.

abc: 4.966 4.966 4.966
angles: 90.00 90.00 90.00
Fractional positions:
B  0.000  0.000  0.000
Te  0.000  0.000  0.500
Te  0.000  0.500  0.000
Te  0.500  0.000  0.000
Br  0.500  0.500  0.500


No. 11
# BTeBr2

BTeBr2 after structural relaxation (PBE, the Alexandria database).

Results
The spin magnetization comes out at 0.00 μB/f.u. For the energy above the most stable polymorph in this dataset, the calculation gives 806 meV/atom. For the density of states at the Fermi level, the calculation gives 15.9 states/eV/cell. For the raw formation energy, the calculation gives 1302.9 meV/atom.

abc: 7.291 7.291 7.291
angles: 90.00 90.00 90.00
Fractional positions:
B  0.000  0.000  0.000
B  0.000  0.500  0.500
B  0.500  0.000  0.500
B  0.500  0.500  0.000
Te  0.000  0.000  0.500
Te  0.000  0.500  0.000
Te  0.500  0.000  0.000
Te  0.500  0.500  0.500
Br  0.250  0.250  0.250
Br  0.250  0.250  0.750
Br  0.250  0.750  0.250
Br  0.250  0.750  0.750
Br  0.750  0.250  0.250
Br  0.750  0.250  0.750
Br  0.750  0.750  0.250
Br  0.750  0.750  0.750


No. 12
# BTe2Br

BTe2Br after structural relaxation (PBE, the Alexandria database).

Results
The spin magnetization comes out at 0.00 μB/f.u. For the energy above the most stable polymorph in this dataset, the calculation gives 0 meV/atom. For the density of states at the Fermi level, the calculation gives 16.8 states/eV/cell. For the raw formation energy, the calculation gives 427.4 meV/atom.

abc: 6.982 6.982 8.812
angles: 90.00 90.00 90.00
Fractional positions:
B  0.000  0.000  0.000
B  0.000  0.500  0.250
B  0.500  0.000  0.750
B  0.500  0.500  0.500
Te  0.148  0.750  0.125
Te  0.250  0.148  0.875
Te  0.250  0.352  0.375
Te  0.352  0.750  0.625
Te  0.648  0.250  0.625
Te  0.750  0.648  0.375
Te  0.750  0.852  0.875
Te  0.852  0.250  0.125
Br  0.000  0.000  0.500
Br  0.000  0.500  0.750
Br  0.500  0.000  0.250
Br  0.500  0.500  0.000


Across the entries above, mass density takes the values 5469; 3457; 3963; 4624; 4764; 4468; 5850; 6417; 4379; 6420; 5111; 5349 kg/m3, respectively.